No. 1
Below is a relaxed structure of CaNi3C, with properties calculated at the GGA-PBEsol level.

Unit cell a=4.331 b=4.331 c=4.331 alpha=90.00 beta=90.00 gamma=90.00
Fractional positions:
1 Ni 0.000 0.500 0.000
2 Ni 0.500 0.000 0.000
3 Ni 0.000 0.000 0.500
4 C 0.500 0.500 0.500
5 Ca 0.000 0.000 0.000

Computed properties:
Relative energy among the computed polymorphs: 2936 meV/atom
Space-group type: Pm-3m (221)
Energy: -3.166 eV per atom

No. 2
Below is a relaxed structure of CaCO2, with properties calculated at the GGA-PBEsol level.

Unit cell a=4.423 b=4.423 c=5.986 alpha=111.68 beta=111.68 gamma=90.00
Fractional positions:
1 Ca 0.250 0.750 0.500
2 Ca 0.000 0.000 0.000
3 O 0.788 0.375 0.250
4 O 0.462 0.875 0.250
5 O 0.125 0.212 0.750
6 O 0.625 0.538 0.750
7 C 0.750 0.250 0.500
8 C 0.500 0.500 0.000

Computed properties:
Space-group type: I-42d (122)
Formation energy without anion corrections: -297 meV/atom
Energy: -5.865 eV per atom

No. 3
Below is a relaxed structure of Ca4Tl2CO9, with properties calculated at the GGA-PBEsol level.

Unit cell a=4.761 b=4.821 c=9.675 alpha=104.43 beta=104.25 gamma=90.00
Fractional positions:
1 O 0.885 0.863 0.726
2 O 0.642 0.628 0.256
3 O 0.385 0.372 0.744
4 O 0.159 0.137 0.274
5 O 0.767 0.250 0.500
6 O 0.868 0.231 0.000
7 O 0.868 0.769 0.000
8 O 0.266 0.750 0.500
9 O 0.278 0.000 0.000
10 Ca 0.420 0.891 0.783
11 Ca 0.120 0.608 0.216
12 Ca 0.638 0.109 0.217
13 Ca 0.905 0.392 0.784
14 Tl 0.762 0.746 0.493
15 Tl 0.270 0.254 0.507
16 C 0.007 0.000 0.000

Computed properties:
Space-group type: Imm2 (44)
Formation energy without anion corrections: -2066 meV/atom
Energy: -6.483 eV per atom